Record 1
A crystal of Fe2ReRu relaxed with PBEsol. Source: Alexandria, functional SCAN.

```
data_Fe2ReRu
_chemical_formula_sum 'Fe4 Re2 Ru2'
_symmetry_space_group_name_H-M 'I -4 m 2'
_symmetry_Int_Tables_number 119
_symmetry_space_group_name_Hall 'I -4 -2'
_cell_length_a 3.655
_cell_length_b 3.655
_cell_length_c 7.298
_cell_angle_alpha 90.00
_cell_angle_beta 90.00
_cell_angle_gamma 90.00
loop_
_atom_site_label
_atom_site_type_symbol
_atom_site_fract_x
_atom_site_fract_y
_atom_site_fract_z
Fe1 Fe 0.000 0.000 0.000
Fe2 Fe 0.000 0.500 0.250
Re1 Re 0.000 0.000 0.500
Ru1 Ru 0.000 0.500 0.750
```

Computed properties:
Uncorrected energy   -1.3040 Ha/atom
Energy of formation   0.0627 eV/atom

Record 2
A crystal of AlRu2PtW relaxed with PBEsol. Source: Alexandria, functional SCAN.

```
data_AlRu2PtW
_chemical_formula_sum 'Al1 Ru2 Pt1 W1'
_symmetry_space_group_name_H-M 'P 4/m m m'
_symmetry_Int_Tables_number 123
_symmetry_space_group_name_Hall '-P 4 2'
_cell_length_a 4.575
_cell_length_b 4.575
_cell_length_c 4.802
_cell_angle_alpha 90.00
_cell_angle_beta 90.00
_cell_angle_gamma 90.00
loop_
_atom_site_label
_atom_site_type_symbol
_atom_site_fract_x
_atom_site_fract_y
_atom_site_fract_z
Al1 Al 0.000 0.000 0.000
Ru1 Ru 0.000 0.500 0.500
Pt1 Pt 0.500 0.500 0.000
W1 W 0.500 0.500 0.500
```

Computed properties:
Uncorrected energy   -1.5450 Ha/atom
Energy of formation   1.4152 eV/atom

Record 3
A crystal of La2TcNiPd relaxed with PBEsol. Source: Alexandria, functional SCAN.

```
data_La2TcNiPd
_chemical_formula_sum 'La2 Tc1 Ni1 Pd1'
_symmetry_space_group_name_H-M 'P 4/m m m'
_symmetry_Int_Tables_number 123
_symmetry_space_group_name_Hall '-P 4 2'
_cell_length_a 5.356
_cell_length_b 5.356
_cell_length_c 4.275
_cell_angle_alpha 90.00
_cell_angle_beta 90.00
_cell_angle_gamma 90.00
loop_
_atom_site_label
_atom_site_type_symbol
_atom_site_fract_x
_atom_site_fract_y
_atom_site_fract_z
La1 La 0.000 0.500 0.000
Tc1 Tc 0.000 0.000 0.500
Ni1 Ni 0.000 0.000 0.000
Pd1 Pd 0.500 0.500 0.500
```

Computed properties:
Uncorrected energy   -1.2429 Ha/atom
Energy of formation   0.2214 eV/atom